(1)
VASP calculation (PBE) on a relaxed NbC crystal.

The space group is P6_3/mmc (No. 194) and the conventional cell measures 3.7236, 3.7236 and 4.4602 Å, with angles of 90.00, 90.00 and 120.00 degrees. Symmetry generates all atoms from Nb at (0.3333, 0.6667, 0.2500) and C at (0.3333, 0.6667, 0.7500).

The energy relative to the elements comes out at -356 meV per atom. Its density of states at the Fermi level is 1.40 states/eV per cell. Its energy is -10.00 eV/atom. The value obtained for the total magnetic moment is 0.00 μB/atom. As for the energy relative to the lowest polymorph listed for this composition: 0.116 eV per atom.

(2)
VASP calculation (PBE) on a relaxed Th2SnAs crystal.

The space group is R3m (No. 160, hexagonal axes) and the conventional cell measures 4.2601, 4.2601 and 23.2621 Å, with angles of 90.00, 90.00 and 120.00 degrees. Symmetry generates all atoms from Th at (0.0000, 0.0000, 0.0000), Th at (0.0000, 0.0000, 0.1634), Sn at (0.0000, 0.0000, 0.5824) and As at (0.0000, 0.0000, 0.4137).

The energy relative to the elements comes out at -742 meV per atom. Its density of states at the Fermi level is 9.86 states/eV per cell. Its energy is -6.61 eV/atom. The value obtained for the total magnetic moment is 0.00 μB/atom. As for the energy relative to the lowest polymorph listed for this composition: 0.173 eV per atom.

(3)
VASP calculation (PBE) on a relaxed HfCoBi2W crystal.

The space group is P4/mmm (No. 123) and the conventional cell measures 5.302, 5.302 and 5.149 Å, with angles of 90.00, 90.00 and 90.00 degrees. Symmetry generates all atoms from Hf at (0.000, 0.000, 0.000), Co at (0.500, 0.500, 0.000), Bi at (0.000, 0.500, 0.500) and W at (0.000, 0.000, 0.500).

The energy relative to the elements comes out at 1395 meV per atom. Its density of states at the Fermi level is 9.62 states/eV per cell. Its energy is -6.16 eV/atom. The value obtained for the total magnetic moment is 0.35 μB/atom.

(4)
VASP calculation (PBE) on a relaxed BaNaBi2 crystal.

The space group is Pnma (No. 62) and the conventional cell measures 9.497, 5.371 and 12.202 Å, with angles of 90.00, 90.00 and 90.00 degrees. Symmetry generates all atoms from Ba at (0.125, 0.250, 0.132), Na at (0.016, 0.750, 0.397), Bi at (0.160, 0.250, 0.821) and Bi at (0.239, 0.250, 0.426).

The energy relative to the elements comes out at -545 meV per atom. Its density of states at the Fermi level is 7.11 states/eV per cell. Its energy is -3.30 eV/atom. The value obtained for the total magnetic moment is 0.00 μB/atom. As for the energy relative to the lowest polymorph listed for this composition: 0.011 eV per atom.

(5)
VASP calculation (PBE) on a relaxed Cd2Cu2SnPd5 crystal.

The space group is P4/mbm (No. 127) and the conventional cell measures 9.315, 9.315 and 3.876 Å, with angles of 90.00, 90.00 and 90.00 degrees. Symmetry generates all atoms from Cd at (0.168, 0.332, 0.000), Cu at (0.127, 0.627, 0.000), Sn at (0.000, 0.000, 0.000), Pd at (0.000, 0.500, 0.500) and Pd at (0.081, 0.802, 0.500).

The energy relative to the elements comes out at -262 meV per atom. Its density of states at the Fermi level is 5.10 states/eV per cell. Its energy is -4.26 eV/atom. The value obtained for the total magnetic moment is 0.00 μB/atom.

(6)
VASP calculation (PBE) on a relaxed TlIn2Ir crystal.

The space group is P4/mmm (No. 123) and the conventional cell measures 5.126, 5.126 and 3.278 Å, with angles of 90.00, 90.00 and 90.00 degrees. Symmetry generates all atoms from Tl at (0.000, 0.000, 0.000), In at (0.000, 0.500, 0.500) and Ir at (0.500, 0.500, 0.000).

The energy relative to the elements comes out at 358 meV per atom. Its density of states at the Fermi level is 1.49 states/eV per cell. Its energy is -3.82 eV/atom. The value obtained for the total magnetic moment is 0.00 μB/atom. As for the energy relative to the lowest polymorph listed for this composition: 0.332 eV per atom.

(7)
VASP calculation (PBE) on a relaxed TmPu2Sc6 crystal.

The space group is P-31m (No. 162) and the conventional cell measures 5.4853, 5.4853 and 10.4200 Å, with angles of 90.00, 90.00 and 120.00 degrees. Symmetry generates all atoms from Tm at (0.0000, 0.0000, 0.0000), Pu at (0.3333, 0.6667, 0.5000) and Sc at (0.0000, 0.3360, 0.2506).

The energy relative to the elements comes out at 585 meV per atom. Its density of states at the Fermi level is 20.68 states/eV per cell. Its energy is -7.32 eV/atom. The value obtained for the total magnetic moment is 1.49 μB/atom. As for the energy relative to the lowest polymorph listed for this composition: 0.467 eV per atom.

(8)
VASP calculation (PBE) on a relaxed SiTe2 crystal.

The space group is P-3m1 (No. 164) and the conventional cell measures 3.9387, 3.9387 and 22.7867 Å, with angles of 90.00, 90.00 and 120.00 degrees. Symmetry generates all atoms from Si at (0.0000, 0.0000, 0.0000), Si at (0.3333, 0.6667, 0.3290), Te at (0.0000, 0.0000, 0.3903), Te at (0.3333, 0.6667, 0.0690) and Te at (0.3333, 0.6667, 0.2234).

For the uncorrected formation energy, the calculation gives 0.19 eV/atom. Its density of states at the Fermi level is 5.21 states/eV per cell. Its energy is -3.71 eV/atom. The value obtained for the total magnetic moment is 0.00 μB/atom.

(9)
VASP calculation (PBE) on a relaxed K3Tb2DyTe6 crystal.

The space group is C2/m (No. 12) and the conventional cell measures 7.802, 13.515 and 8.646 Å, with angles of 90.00, 107.49 and 90.00 degrees. Symmetry generates all atoms from K at (0.000, 0.000, 0.000), K at (0.000, 0.333, 0.000), Tb at (0.000, 0.167, 0.500), Dy at (0.000, 0.500, 0.500), Te at (0.236, 0.334, 0.709) and Te at (0.237, 0.000, 0.709).

For the uncorrected formation energy, the calculation gives -1.40 eV/atom. Its energy is -4.40 eV/atom. The value obtained for the total magnetic moment is 0.00 μB/atom.

(10)
VASP calculation (PBE) on a relaxed KNpHg2Br8 crystal.

The space group is P-1 (No. 2) and the conventional cell measures 7.077, 7.871 and 9.583 Å, with angles of 109.98, 91.20 and 98.04 degrees. Symmetry generates all atoms from K at (0.000, 0.000, 0.000), Np at (0.000, 0.000, 0.500), Hg at (0.448, 0.267, 0.801), Br at (0.168, 0.797, 0.233), Br at (0.219, 0.869, 0.681), Br at (0.320, 0.300, 0.556) and Br at (0.407, 0.298, 0.074).

For the uncorrected formation energy, the calculation gives -0.94 eV/atom. Its density of states at the Fermi level is 6.16 states/eV per cell. Its energy is -3.28 eV/atom. The value obtained for the total magnetic moment is 0.33 μB/atom.

(11)
VASP calculation (PBE) on a relaxed LiMn2Ge2 crystal.

The space group is P4/mbm (No. 127) and the conventional cell measures 7.322, 7.322 and 2.696 Å, with angles of 90.00, 90.00 and 90.00 degrees. Symmetry generates all atoms from Li at (0.000, 0.000, 0.000), Mn at (0.124, 0.376, 0.000) and Ge at (0.171, 0.671, 0.500).

The energy relative to the elements comes out at -101 meV per atom. Its density of states at the Fermi level is 4.89 states/eV per cell. Its energy is -6.00 eV/atom. The value obtained for the total magnetic moment is 0.93 μB/atom. As for the energy relative to the lowest polymorph listed for this composition: 0.000 eV per atom.

(12)
VASP calculation (PBE) on a relaxed MgBe2GeIr crystal.

The space group is P4/mmm (No. 123) and the conventional cell measures 4.386, 4.386 and 4.664 Å, with angles of 90.00, 90.00 and 90.00 degrees. Symmetry generates all atoms from Mg at (0.000, 0.000, 0.000), Be at (0.000, 0.500, 0.500), Ge at (0.500, 0.500, 0.000) and Ir at (0.500, 0.500, 0.500).

The energy relative to the elements comes out at 169 meV per atom. Its density of states at the Fermi level is 1.63 states/eV per cell. Its energy is -4.34 eV/atom. The value obtained for the total magnetic moment is 0.00 μB/atom.